# 1
VASP calculation (GGA-PBEsol) on crystalline CeSbRh at its relaxed geometry.

abc: 4.5860 7.1800 7.7270
angles: 90.00 90.00 90.00
Site moments in Bohr magnetons follow the coordinates.
Element x y z (fractional)
1 Ce 0.7500 0.4864 0.1965  0.19
2 Ce 0.2500 0.5136 0.8035  0.19
3 Ce 0.7500 0.9864 0.3035  0.19
4 Ce 0.2500 0.0136 0.6965  0.19
5 Sb 0.7500 0.8170 0.9088  -0.01
6 Sb 0.2500 0.6830 0.4088  -0.01
7 Sb 0.7500 0.3170 0.5912  -0.01
8 Sb 0.2500 0.1830 0.0912  -0.01
9 Rh 0.2500 0.7840 0.0773  -0.03
10 Rh 0.7500 0.7160 0.5773  -0.03
11 Rh 0.2500 0.2840 0.4227  -0.03
12 Rh 0.7500 0.2160 0.9227  -0.03

Formation energy without anion corrections: -91.91 kJ/mol of atoms
Crystal system: orthorhombic


# 2
VASP calculation (GGA-PBEsol) on crystalline TaInSi at its relaxed geometry.

abc: 3.2273 3.4801 5.4121
angles: 108.75 107.35 90.00
Element x y z (fractional)
1 In 0.0020 0.0020 0.0040
2 Si 0.2994 0.2994 0.5987
3 Ta 0.6986 0.6986 0.3973

Formation energy without anion corrections: 1.99 kJ/mol of atoms
Crystal system: orthorhombic


# 3
VASP calculation (GGA-PBEsol) on crystalline Zr4B15Ir12 at its relaxed geometry.

abc: 3.5334 7.4885 12.9782
angles: 90.04 90.04 90.01
Element x y z (fractional)
1 Zr 0.2508 0.4995 0.8311
2 Zr 0.2528 0.0008 0.3356
3 Zr 0.7472 0.9992 0.6644
4 Zr 0.7492 0.5005 0.1689
5 B 0.5000 0.0000 0.0000
6 B 0.5000 0.5000 0.5000
7 B 0.0000 0.0000 0.0000
8 B 0.7610 0.3261 0.7221
9 B 0.7548 0.8254 0.2253
10 B 0.7531 0.7509 0.7989
11 B 0.7624 0.2525 0.3035
12 B 0.7499 0.4236 0.9752
13 B 0.7690 0.9210 0.4756
14 B 0.2452 0.1746 0.7747
15 B 0.2390 0.6739 0.2779
16 B 0.2376 0.7475 0.6965
17 B 0.2469 0.2491 0.2011
18 B 0.2310 0.0790 0.5244
19 B 0.2501 0.5764 0.0248
20 Ir 0.7394 0.5911 0.6619
21 Ir 0.7492 0.0913 0.1635
22 Ir 0.7507 0.7095 0.9632
23 Ir 0.7342 0.2114 0.4655
24 Ir 0.7479 0.1986 0.8730
25 Ir 0.7410 0.6980 0.3726
26 Ir 0.2508 0.9087 0.8365
27 Ir 0.2606 0.4089 0.3381
28 Ir 0.2658 0.7886 0.5345
29 Ir 0.2493 0.2905 0.0368
30 Ir 0.2590 0.3020 0.6274
31 Ir 0.2521 0.8014 0.1270

Crystal system: triclinic
DFT total energy: -277.901 eV/cell


# 4
VASP calculation (GGA-PBEsol) on crystalline LiTcHg2 at its relaxed geometry.

abc: 2.8396 4.9236 5.3612
angles: 108.22 105.36 90.00
Element x y z (fractional)
1 Hg 0.9949 0.8995 0.9898
2 Hg 0.7510 0.3377 0.5020
3 Li 0.5023 0.4227 0.0045
4 Tc 0.2518 0.8402 0.5036

Crystal system: monoclinic
DFT total energy: -13.613 eV/cell


# 5
VASP calculation (GGA-PBEsol) on crystalline ZrSnRh3 at its relaxed geometry.

abc: 4.6896 4.6896 4.6896
angles: 90.00 90.00 90.00
Element x y z (fractional)
1 Rh 0.0000 0.5000 0.0000
2 Rh 0.0000 0.0000 0.5000
3 Rh 0.5000 0.0000 0.0000
4 Sn 0.0000 0.0000 0.0000
5 Zr 0.5000 0.5000 0.5000

Crystal system: cubic
DFT total energy: -33.960 eV/cell


# 6
VASP calculation (GGA-PBEsol) on crystalline LaSn6Ru4 at its relaxed geometry.

abc: 6.8662 6.8817 6.8662
angles: 60.07 90.00 119.93
Element x y z (fractional)
1 Ru 0.7513 0.8421 0.2487
2 Ru 0.9092 0.1579 0.7513
3 Ru 0.0908 0.8421 0.9092
4 Ru 0.2487 0.1579 0.0908
5 Sn 0.3836 0.4080 0.6164
6 Sn 0.0244 0.4080 0.9756
7 Sn 0.6164 0.5920 0.0244
8 Sn 0.5000 0.0000 0.0000
9 Sn 0.9756 0.5920 0.3836
10 Sn 0.0000 0.0000 0.5000
11 La 0.5000 0.0000 0.5000

Crystal system: tetragonal
DFT total energy: -75.569 eV/cell


# 7
VASP calculation (GGA-PBEsol) on crystalline SiPOs2 at its relaxed geometry.

abc: 2.8323 4.1075 4.9021
angles: 101.29 90.00 110.17
Element x y z (fractional)
1 Os 0.7450 0.4900 0.7566
2 Os 0.2550 0.5100 0.2434
3 P 0.5000 0.0000 0.0000
4 Si 0.0000 0.0000 0.5000

Formation energy without anion corrections: -12.56 kJ/mol of atoms
Crystal system: monoclinic


# 8
VASP calculation (GGA-PBEsol) on crystalline TiFeTcRh2 at its relaxed geometry.

abc: 4.2164 4.3358 4.3358
angles: 90.00 90.00 90.00
Site moments in Bohr magnetons follow the coordinates.
Element x y z (fractional)
1 Ti 0.5000 0.0000 0.0000  -0.36
2 Rh 0.0000 0.0000 0.5000  0.33
3 Rh 0.0000 0.5000 0.0000  0.33
4 Tc 0.5000 0.5000 0.5000  1.80
5 Fe 0.0000 0.0000 0.0000  0.94

Crystal system: tetragonal
DFT total energy: -39.821 eV/cell


Listing size of the total moment for the structures above in their given order: 0.0560, 0.0000, 0.0000, 0.0000, 0.0006, 0.0000, 0.0000, 0.6311 μB per atom.